1.
! PBEsol CeGaNi, optimized geometry; values from VASP
&SYSTEM
  ibrav = 0, nat = 9, ntyp = 3
/
ATOMIC_SPECIES
Ga 69.72 Ga.upf
Ni 58.69 Ni.upf
Ce 140.12 Ce.upf
CELL_PARAMETERS angstrom
-0.290 3.813 1.105
-2.025 1.643 -6.199
-4.525 -1.700 4.675
ATOMIC_POSITIONS crystal
Ga 0.000 0.000 0.237
Ga 0.000 0.763 0.763
Ga 0.000 0.237 0.000
Ni 0.000 0.333 0.667
Ni 0.500 0.000 0.000
Ni 0.000 0.667 0.333
Ce 0.500 0.423 0.423
Ce 0.500 0.000 0.577
Ce 0.500 0.577 0.000
! magnetization: 0.0 μB per formula unit
! E_form: -0.604 eV/atom
! symmetry: P-62m
! N(E_F): 0.701 states/eV/atom

2.
! PBEsol ScP2CCl, optimized geometry; values from VASP
&SYSTEM
  ibrav = 0, nat = 5, ntyp = 4
/
ATOMIC_SPECIES
P 30.97 P.upf
Sc 44.96 Sc.upf
C 12.01 C.upf
Cl 35.45 Cl.upf
CELL_PARAMETERS angstrom
-0.522 -3.020 -3.581
-2.239 -3.237 3.056
-4.418 2.039 -1.076
ATOMIC_POSITIONS crystal
P 0.000 0.000 0.500
P 0.000 0.500 0.000
Sc 0.000 0.000 0.000
C 0.500 0.500 0.500
Cl 0.500 0.000 0.000
! magnetization: 0.5 μB per formula unit
! symmetry: P4/mmm
! formation energy (no corrections): 1.429 eV per atom
! N(E_F): 1.019 states/eV/atom